# 1
Computed, not measured: a relaxed Pm2Ga4IrRh3 crystal at the GGA-PBE level of DFT.

```
Pm2Ga4IrRh3
1.0
-2.3364 0.0163 -3.6298
-1.8879 -3.6923 1.1986
-7.1973 5.1915 4.6560
Rh Pm Ga Ir
3 2 4 1
Cartesian
-1.8527 -1.1907 1.1872
-7.4568 4.5442 2.2532
-3.5987 2.5958 2.3280
-6.2428 1.9760 4.0272
-3.0666 1.3775 -0.5868
-5.6845 3.2658 1.1067
-3.6250 0.0877 2.3337
-2.1121 -1.8380 -1.2156
0.0000 0.0000 0.0000
-5.7108 0.7577 1.1124
```

total magnetic moment = 0.0000 μB/atom

# 2
Computed, not measured: a relaxed Pm2GaIrRh crystal at the GGA-PBE level of DFT.

```
Pm2GaIrRh
1.0
-1.3479 -3.9412 0.6335
1.4779 -1.1139 -3.7851
11.4762 -3.0599 5.3814
Rh Ga Pm Ir
2 2 4 2
Cartesian
5.8031 -4.0575 1.1149
5.7381 -1.5300 2.6907
6.2829 -3.8255 3.5790
5.2583 -1.7619 0.2267
8.5179 -2.6310 1.7552
3.0233 -2.9564 2.0505
1.9796 -0.8877 -1.3108
9.5616 -4.6997 5.1165
0.6172 -2.3149 0.9222
10.9240 -3.2726 2.8835
```

total magnetic moment = 0.0000 μB/atom

# 3
Computed, not measured: a relaxed PmGaIrRh crystal at the GGA-PBE level of DFT.

```
PmGaIrRh
1.0
-4.3386 -1.3395 1.0577
-2.0768 -3.3515 -2.4881
-0.7477 -4.1908 1.9012
Rh Ga Ir Pm
1 1 1 1
Cartesian
-1.7908 -2.2205 0.1177
0.0000 0.0000 0.0000
-5.3724 -6.6614 0.3531
-3.5816 -4.4409 0.2354
```

total magnetic moment = 0.0000 μB/atom

| no. | ρ (Mg/m³) | volume (A^3/atom) | formation energy from the elements (eV/atom) |
| --- | --- | --- | --- |
| 1 | 9.5 | 18.67 | -0.783 |
| 2 | 9.4 | 23.15 | -0.662 |
| 3 | 11.8 | 17.91 | -0.526 |